Below is an optimized crystal structure of ZrZnNiPd, with properties calculated at the PBE level.

Results
V = 62.8 Å³ per cell
energy relative to the elements = -496 meV per atom

Cell: 4.463 4.463 4.463 Å, 60.00 60.00 60.00°
Positions (direct):
Ni1 0.750 0.750 0.750
Pd1 0.250 0.250 0.250
Zn1 0.000 0.000 0.000
Zr1 0.500 0.500 0.500

Below is an optimized crystal structure of Zr3Zn3Ni2Pd, with properties calculated at the PBE level.

Results
V = 146.3 Å³ per cell
energy relative to the elements = -482 meV per atom

Cell: 6.988 6.988 3.459 Å, 90.00 90.00 120.00°
Positions (direct):
Ni1 0.667 0.333 0.500
Ni2 0.333 0.667 0.500
Pd1 0.000 0.000 0.000
Zn1 0.271 0.000 0.500
Zn2 0.000 0.271 0.500
Zn3 0.729 0.729 0.500
Zr1 0.591 0.000 0.000
Zr2 0.409 0.409 0.000
Zr3 0.000 0.591 0.000

Below is an optimized crystal structure of Zr4NiPd, with properties calculated at the PBE level.

Results
V = 117.1 Å³ per cell
energy relative to the elements = -365 meV per atom

Cell: 4.666 5.866 5.866 Å, 133.14 90.00 90.00°
Positions (direct):
Ni1 0.000 0.252 0.252
Pd1 0.500 0.749 0.749
Zr1 0.500 0.404 0.095
Zr2 0.500 0.095 0.404
Zr3 0.000 0.905 0.596
Zr4 0.000 0.596 0.905

Below is an optimized crystal structure of Zr3Ni4Pd4, with properties calculated at the PBE level.

Results
V = 187.2 Å³ per cell
energy relative to the elements = -161 meV per atom

Cell: 7.290 7.290 7.290 Å, 135.56 135.56 64.66°
Positions (direct):
Ni1 0.542 0.240 0.000
Ni2 0.240 0.542 0.000
Ni3 0.760 0.760 0.302
Ni4 0.458 0.458 0.698
Pd1 0.208 0.208 0.000
Pd2 0.792 0.792 0.000
Pd3 0.500 0.000 0.500
Pd4 0.000 0.500 0.500
Zr1 0.000 0.000 0.000
Zr2 0.750 0.250 0.500
Zr3 0.250 0.750 0.500

Below is an optimized crystal structure of ZrNi2Pd, with properties calculated at the PBE level.

Results
V = 59.1 Å³ per cell
energy relative to the elements = -332 meV per atom

Cell: 4.373 4.373 4.373 Å, 60.00 60.00 60.00°
Positions (direct):
Ni1 0.000 0.000 0.000
Ni2 0.750 0.750 0.750
Pd1 0.500 0.500 0.500
Zr1 0.250 0.250 0.250

Below is an optimized crystal structure of Zr2NiPd, with properties calculated at the PBE level.

Results
V = 67.1 Å³ per cell
energy relative to the elements = -298 meV per atom

Cell: 4.561 4.561 4.561 Å, 60.00 60.00 60.00°
Positions (direct):
Ni1 0.250 0.250 0.250
Pd1 0.500 0.500 0.500
Zr1 0.000 0.000 0.000
Zr2 0.750 0.750 0.750

Below is an optimized crystal structure of ZrNiPd, with properties calculated at the PBE level.

Results
V = 53.5 Å³ per cell
energy relative to the elements = -286 meV per atom

Cell: 4.229 4.229 4.229 Å, 60.00 60.00 60.00°
Positions (direct):
Ni1 0.000 0.000 0.000
Pd1 0.250 0.250 0.250
Zr1 0.750 0.750 0.750

Below is an optimized crystal structure of Zr2NiPd, with properties calculated at the PBE level.

Results
V = 72.9 Å³ per cell
energy relative to the elements = -530 meV per atom

Cell: 4.207 5.396 5.396 Å, 36.53 90.00 90.00°
Positions (direct):
Ni1 0.000 0.089 0.089
Pd1 0.500 0.917 0.917
Zr1 0.000 0.355 0.355
Zr2 0.500 0.640 0.640